No. 1
! Y2Mg2Cu3, optimized geometry, DFT PBEsol; values from VASP
! Total magnetic moment   0.00 μB/f.u.
! Formation energy from the elements   -0.109 eV/atom
&SYSTEM
  ibrav = 0, nat = 14, ntyp = 3
/
ATOMIC_SPECIES
Y 88.91 Y.upf
Mg 24.30 Mg.upf
Cu 63.55 Cu.upf
ATOMIC_POSITIONS crystal
Y 0.0742 0.0742 0.2713
Y 0.3399 0.3399 0.8947
Y 0.6601 0.6601 0.1053
Y 0.9258 0.9258 0.7287
Mg 0.3757 0.3757 0.4682
Mg 0.3816 0.3816 0.2136
Mg 0.6184 0.6184 0.7864
Mg 0.6243 0.6243 0.5318
Cu 0.0812 0.0812 0.6334
Cu 0.1768 0.1768 0.9472
Cu 0.2599 0.2599 0.5883
Cu 0.7401 0.7401 0.4117
Cu 0.8232 0.8232 0.0528
Cu 0.9188 0.9188 0.3666
CELL_PARAMETERS angstrom
7.0063 -2.1976 0.0000
7.0063 2.1976 0.0000
-6.9975 0.0000 8.8848

No. 2
! Mg2FeSb2, optimized geometry, DFT PBEsol; values from VASP
! ΔE_f (raw)   0.21 eV per formula unit
! Total magnetic moment   0.17 μB/f.u.
&SYSTEM
  ibrav = 0, nat = 10, ntyp = 3
/
ATOMIC_SPECIES
Mg 24.30 Mg.upf
Fe 55.84 Fe.upf
Sb 121.76 Sb.upf
ATOMIC_POSITIONS crystal
Mg 0.1734 0.3266 0.0000
Mg 0.3266 0.8266 0.0000
Mg 0.6734 0.1734 0.0000
Mg 0.8266 0.6734 0.0000
Fe 0.0000 0.0000 0.5000
Fe 0.5000 0.5000 0.5000
Sb 0.1549 0.6549 0.5000
Sb 0.3451 0.1549 0.5000
Sb 0.6549 0.8451 0.5000
Sb 0.8451 0.3451 0.5000
CELL_PARAMETERS angstrom
6.5248 0.0000 0.0000
0.0000 6.5248 0.0000
0.0000 0.0000 4.9010

No. 3
! NbCoNi2Ir, optimized geometry, DFT PBEsol; values from VASP
! Total magnetic moment   1.10 μB/f.u.
! Formation energy from the elements   0.998 eV/atom
&SYSTEM
  ibrav = 0, nat = 5, ntyp = 4
/
ATOMIC_SPECIES
Nb 92.91 Nb.upf
Co 58.93 Co.upf
Ni 58.69 Ni.upf
Ir 192.22 Ir.upf
ATOMIC_POSITIONS crystal
Nb 0.0000 0.0000 0.0000
Co 0.0000 0.0000 0.5000
Ni 0.0000 0.5000 0.5000
Ni 0.5000 0.0000 0.5000
Ir 0.5000 0.5000 0.0000
CELL_PARAMETERS angstrom
4.1379 0.0000 0.0000
0.0000 4.1379 0.0000
0.0000 0.0000 4.2979

No. 4
! CaMgAl, optimized geometry, DFT PBEsol; values from VASP
! Total magnetic moment   0.00 μB/f.u.
! Formation energy from the elements   -0.135 eV/atom
&SYSTEM
  ibrav = 0, nat = 3, ntyp = 3
/
ATOMIC_SPECIES
Ca 40.08 Ca.upf
Mg 24.30 Mg.upf
Al 26.98 Al.upf
ATOMIC_POSITIONS crystal
Ca 0.0000 0.0000 0.0000
Mg 0.3333 0.6667 0.5000
Al 0.6667 0.3333 0.5000
CELL_PARAMETERS angstrom
4.9337 0.0000 0.0000
-2.4668 4.2727 0.0000
0.0000 0.0000 3.5016

Going through the records in order, we get density values of 5062 5539 10413 2055 kg/m³.